Entry 1:
A geometry-optimized PtAu3 structure. Source: Alexandria via LeMat-Bulk, functional PBEsol.

Cell lengths 9.4467, 2.8725, 4.9147 Å; angles 90.00, 100.50, 90.00 degrees
Space group C2/m (No. 12)
Unique sites:
Pt (0.0000, 0.0000, 0.0000)
Au (0.0000, 0.5000, 0.5000)
Au (0.2472, 0.5000, 0.2470)

Output
Magnetization   0.0 Bohr magnetons per cell

=====

Entry 2:
A geometry-optimized Ta2AlW structure. Source: Alexandria via LeMat-Bulk, functional PBEsol.

Cell lengths 3.2547, 4.4895, 9.0310 Å; angles 90.00, 90.00, 90.00 degrees
Space group Cmmm (No. 65)
Unique sites:
Ta (0.0000, 0.0000, 0.2488)
Al (0.0000, 0.5000, 0.0000)
W (0.0000, 0.5000, 0.5000)

Output
Magnetization   0.0 Bohr magnetons per cell

=====

Entry 3:
A geometry-optimized HfZn2Ni2 structure. Source: Alexandria via LeMat-Bulk, functional PBEsol.

Cell lengths 3.6531, 3.6531, 10.4562 Å; angles 90.00, 90.00, 90.00 degrees
Space group I4/mmm (No. 139)
Unique sites:
Hf (0.0000, 0.0000, 0.0000)
Zn (0.0000, 0.0000, 0.3891)
Ni (0.0000, 0.5000, 0.2500)

Output
Magnetization   0.0 Bohr magnetons per cell

=====

Entry 4:
A geometry-optimized Hf3Sn structure. Source: Alexandria via LeMat-Bulk, functional PBEsol.

Cell lengths 4.3676, 4.3676, 4.3676 Å; angles 90.00, 90.00, 90.00 degrees
Space group Pm-3m (No. 221)
Unique sites:
Hf (0.0000, 0.0000, 0.5000)
Sn (0.5000, 0.5000, 0.5000)

Output
Magnetization   0.0 Bohr magnetons per cell

=====

Entry 5:
A geometry-optimized Mn2W structure. Source: Alexandria via LeMat-Bulk, functional PBEsol.

Cell lengths 4.1153, 4.1153, 2.5674 Å; angles 90.00, 90.00, 120.00 degrees
Space group P-3m1 (No. 164)
Unique sites:
Mn (0.3333, 0.6667, 0.3147)
W (0.0000, 0.0000, 0.0000)

Output
Offset from the most stable computed form   0.273 eV/atom
Magnetization   2.5 Bohr magnetons per cell

=====

Entry 6:
A geometry-optimized CaTaIr3 structure. Source: Alexandria via LeMat-Bulk, functional PBEsol.

Cell lengths 4.5586, 4.5586, 4.5586 Å; angles 90.00, 90.00, 90.00 degrees
Space group Pm-3m (No. 221)
Unique sites:
Ca (0.0000, 0.0000, 0.0000)
Ta (0.5000, 0.5000, 0.5000)
Ir (0.0000, 0.0000, 0.5000)

Output
Magnetization   0.0 Bohr magnetons per cell

=====

Ordered DOS at the Fermi energy results: 0.421 0.652 0.540 0.804 1.531 0.727; unit states/eV per atom.
Ordered electronic total energy results: -18.62 -43.42 -26.63 -36.95 -32.76 -33.02; unit eV/f.u..